A plane-wave DFT calculation with PBE-GGA was carried out for a relaxed structure of LiCaCrH2.

Properties
The energy above the lowest structure with this stoichiometry comes out at 0.71 eV/f.u.

```
data_LiCaCrH2
_cell_length_a 4.143
_cell_length_b 4.143
_cell_length_c 6.777
_cell_angle_alpha 90.00
_cell_angle_beta 90.00
_cell_angle_gamma 90.00
_symmetry_space_group_name_H-M 'P 4/m m m'
_symmetry_Int_Tables_number 123
_symmetry_space_group_name_Hall '-P 4 2'
loop_
_atom_site_label
_atom_site_fract_x
_atom_site_fract_y
_atom_site_fract_z
Li1 0.000 0.000 0.000
Ca1 0.000 0.000 0.500
Cr1 0.500 0.500 0.000
H1 0.000 0.500 0.500
```

=====

A plane-wave DFT calculation with PBE-GGA was carried out for a relaxed structure of Np2ReC.

Properties
As for the formation energy: 0.424 eV per atom. The energy above the lowest structure with this stoichiometry comes out at 0.00 eV/f.u.

```
data_Np2ReC
_cell_length_a 3.268
_cell_length_b 3.268
_cell_length_c 5.905
_cell_angle_alpha 90.00
_cell_angle_beta 90.00
_cell_angle_gamma 90.00
_symmetry_space_group_name_H-M 'P 4/m m m'
_symmetry_Int_Tables_number 123
_symmetry_space_group_name_Hall '-P 4 2'
loop_
_atom_site_label
_atom_site_fract_x
_atom_site_fract_y
_atom_site_fract_z
Np1 0.000 0.000 0.198
Re1 0.500 0.500 0.500
C1 0.500 0.500 0.000
```

=====

A plane-wave DFT calculation with PBE-GGA was carried out for a relaxed structure of Na3Li3Pb2.

Properties
As for the formation energy: -0.095 eV per atom.

```
data_Na3Li3Pb2
_cell_length_a 15.531
_cell_length_b 5.316
_cell_length_c 5.346
_cell_angle_alpha 90.00
_cell_angle_beta 109.65
_cell_angle_gamma 90.00
_symmetry_space_group_name_H-M 'C 1 2/m 1'
_symmetry_Int_Tables_number 12
loop_
_symmetry_equiv_pos_as_xyz
'x,y,z'
'-x,-y,-z'
'-x,y,-z'
'x,-y,z'
'x+1/2,y+1/2,z'
'-x+1/2,-y+1/2,-z'
'-x+1/2,y+1/2,-z'
'x+1/2,-y+1/2,z'
loop_
_atom_site_label
_atom_site_fract_x
_atom_site_fract_y
_atom_site_fract_z
Na1 0.000 0.000 0.000
Na2 0.127 0.000 0.606
Li1 0.000 0.500 0.500
Li2 0.138 0.500 0.160
Pb1 0.242 0.500 0.777
```

=====

A plane-wave DFT calculation with PBE-GGA was carried out for a relaxed structure of ReRh.

Properties
As for the formation energy: 0.299 eV per atom. The energy above the lowest structure with this stoichiometry comes out at 0.95 eV/f.u.

```
data_ReRh
_cell_length_a 4.3810
_cell_length_b 4.3810
_cell_length_c 21.7030
_cell_angle_alpha 90.00
_cell_angle_beta 90.00
_cell_angle_gamma 120.00
_symmetry_space_group_name_H-M 'R 3 m'
_symmetry_Int_Tables_number 160
_symmetry_space_group_name_Hall 'R 3 -2"'
loop_
_atom_site_label
_atom_site_fract_x
_atom_site_fract_y
_atom_site_fract_z
Re1 0.0000 0.0000 0.0000
Re2 0.0000 0.0000 0.1184
Re3 0.0000 0.0000 0.3479
Re4 0.0000 0.0000 0.6065
Rh1 0.0000 0.0000 0.2333
Rh2 0.0000 0.0000 0.4708
Rh3 0.0000 0.0000 0.7338
Rh4 0.0000 0.0000 0.8614
```

=====

A plane-wave DFT calculation with PBE-GGA was carried out for a relaxed structure of K2NaBiBr6.

Properties
Its formation energy (no corrections) is -1.267 eV per atom. The energy above the lowest structure with this stoichiometry comes out at 0.61 eV/f.u.

```
data_K2NaBiBr6
_cell_length_a 11.486
_cell_length_b 11.486
_cell_length_c 11.486
_cell_angle_alpha 90.00
_cell_angle_beta 90.00
_cell_angle_gamma 90.00
_symmetry_space_group_name_H-M 'F m -3 m'
_symmetry_Int_Tables_number 225
_symmetry_space_group_name_Hall '-F 4 2 3'
loop_
_atom_site_label
_atom_site_fract_x
_atom_site_fract_y
_atom_site_fract_z
K1 0.250 0.250 0.250
Na1 0.000 0.000 0.000
Bi1 0.000 0.000 0.500
Br1 0.000 0.000 0.252
```

=====

A plane-wave DFT calculation with PBE-GGA was carried out for a relaxed structure of LaEuAgAs.

Properties
As for the formation energy: -0.719 eV per atom.

```
data_LaEuAgAs
_cell_length_a 7.511
_cell_length_b 7.511
_cell_length_c 7.511
_cell_angle_alpha 90.00
_cell_angle_beta 90.00
_cell_angle_gamma 90.00
_symmetry_space_group_name_H-M 'F -4 3 m'
_symmetry_Int_Tables_number 216
_symmetry_space_group_name_Hall 'F -4 2 3'
loop_
_atom_site_label
_atom_site_fract_x
_atom_site_fract_y
_atom_site_fract_z
La1 0.000 0.000 0.000
Eu1 0.000 0.000 0.500
Ag1 0.250 0.250 0.250
As1 0.250 0.250 0.750
```

=====

Repeat the second record exactly.
A plane-wave DFT calculation with PBE-GGA was carried out for a relaxed structure of Np2ReC.

Properties
As for the formation energy: 0.424 eV per atom. The energy above the lowest structure with this stoichiometry comes out at 0.00 eV/f.u.

```
data_Np2ReC
_cell_length_a 3.268
_cell_length_b 3.268
_cell_length_c 5.905
_cell_angle_alpha 90.00
_cell_angle_beta 90.00
_cell_angle_gamma 90.00
_symmetry_space_group_name_H-M 'P 4/m m m'
_symmetry_Int_Tables_number 123
_symmetry_space_group_name_Hall '-P 4 2'
loop_
_atom_site_label
_atom_site_fract_x
_atom_site_fract_y
_atom_site_fract_z
Np1 0.000 0.000 0.198
Re1 0.500 0.500 0.500
C1 0.500 0.500 0.000
```

=====

- What is the formula in the fifth record?
  K2NaBiBr6

=====

Copy entry 2 word for word.
A plane-wave DFT calculation with PBE-GGA was carried out for a relaxed structure of Np2ReC.

Properties
As for the formation energy: 0.424 eV per atom. The energy above the lowest structure with this stoichiometry comes out at 0.00 eV/f.u.

```
data_Np2ReC
_cell_length_a 3.268
_cell_length_b 3.268
_cell_length_c 5.905
_cell_angle_alpha 90.00
_cell_angle_beta 90.00
_cell_angle_gamma 90.00
_symmetry_space_group_name_H-M 'P 4/m m m'
_symmetry_Int_Tables_number 123
_symmetry_space_group_name_Hall '-P 4 2'
loop_
_atom_site_label
_atom_site_fract_x
_atom_site_fract_y
_atom_site_fract_z
Np1 0.000 0.000 0.198
Re1 0.500 0.500 0.500
C1 0.500 0.500 0.000
```